Here is an optimized crystal structure of GeHAu from Alexandria. Energies are from PBE.

## Properties
The calculation puts the excess energy over the best structure of this formula in the dataset at 179.1 meV per atom. The density of states at the Fermi level comes out at 1.86 states/eV per cell.

Geometry as CIF:
```
data_GeHAu
_cell_length_a 3.5548
_cell_length_b 3.5548
_cell_length_c 7.5544
_cell_angle_alpha 90.00
_cell_angle_beta 90.00
_cell_angle_gamma 90.00
_symmetry_space_group_name_H-M 'I 4 m m'
_symmetry_Int_Tables_number 107
_symmetry_space_group_name_Hall 'I 4 -2'
loop_
_atom_site_label
_atom_site_fract_x
_atom_site_fract_y
_atom_site_fract_z
Ge1 0.0000 0.0000 0.0000
H1 0.0000 0.0000 0.7781
Au1 0.0000 0.0000 0.3672
```

***

Here is an optimized crystal structure of Ge2HAu from Alexandria. Energies are from PBE.

## Properties
The calculation puts the excess energy over the best structure of this formula in the dataset at 210.1 meV per atom. The density of states at the Fermi level comes out at 4.16 states/eV per cell.

Geometry as CIF:
```
data_Ge2HAu
_cell_length_a 6.2934
_cell_length_b 6.2934
_cell_length_c 6.2934
_cell_angle_alpha 90.00
_cell_angle_beta 90.00
_cell_angle_gamma 90.00
_symmetry_space_group_name_H-M 'F m -3 m'
_symmetry_Int_Tables_number 225
_symmetry_space_group_name_Hall '-F 4 2 3'
loop_
_atom_site_label
_atom_site_fract_x
_atom_site_fract_y
_atom_site_fract_z
Ge1 0.2500 0.2500 0.2500
H1 0.0000 0.0000 0.0000
Au1 0.0000 0.0000 0.5000
```

***

Number 1: magnetic moment 0.000 μB per formula unit, E_tot -20.17 eV/cell. Number 2: magnetic moment 0.000 μB per formula unit, E_tot -57.21 eV/cell.